Entry from Alexandria: a relaxed SrCdRu2 crystal (PBE-GGA).

Cell: 3.6514 2.9652 8.3096 Å, 68.82 90.00 90.00°
Sites, in units of the cell vectors:
Cd  0.5000  0.6956  0.8050
Ru  0.0000  0.9550  0.0450
Ru  0.5000  0.3214  0.1771
Sr  0.0000  0.5279  0.4729

* ΔE_f: 0.276 eV/atom